Compound: BaY2Ru
Source: the Alexandria database
Functional: SCAN
Structure: PBEsol geometry

Unit cell a=4.434 b=4.434 c=6.037 alpha=111.54 beta=111.54 gamma=90.00
Atoms (fractional coordinates):
Ba 0.500 0.500 0.000
Ru 0.250 0.750 0.500
Y 0.000 0.000 0.000
Y 0.750 0.250 0.500

SG	I-4m2 (119)
calculated formation energy	0.50	eV/atom
energy above the most stable polymorph in this dataset	427	meV/atom
magnetization	0.00	μB per formula unit